BaNa2V2O7: optimized geometry, PBE+U. Values from VASP.

Computed properties:
- theoretical density (Mg/m³) = 2.7
- crystal system = trigonal
- energy (eV/atom) = -6.66
- N(E_F) (states/eV per atom) = 0.000

Cell and atoms, written as Quantum ESPRESSO input:
```
&SYSTEM
  ibrav = 0, nat = 12, ntyp = 4
/
ATOMIC_SPECIES
Ba 137.33 Ba.upf
Na 22.99 Na.upf
V 50.94 V.upf
O 16.00 O.upf
CELL_PARAMETERS angstrom
5.9273 0.0000 0.0000
2.9637 5.1332 0.0000
2.9637 1.7111 8.0770
ATOMIC_POSITIONS crystal
Ba 0.5000 0.5000 0.5000
Na 0.7422 0.7422 0.7735
Na 0.2578 0.2578 0.2265
V 0.9250 0.9250 0.2250
V 0.0750 0.0750 0.7750
O 0.1786 0.8983 0.2938
O 0.6292 0.1786 0.2938
O 0.8983 0.6292 0.2938
O 0.3708 0.1017 0.7062
O 0.8214 0.3708 0.7062
O 0.0000 0.0000 0.0000
O 0.1017 0.8214 0.7062
```